Here is a geometry-optimized SrUCr2O8 structure from Alexandria via LeMat-Bulk. Energies are from GGA+U.

```
SrUCr2O8
1.0
6.060 0.024 0.000
-2.666 5.442 0.000
-1.697 -2.733 5.136
O U Cr Sr
8 1 2 1
Direct
0.381 0.049 0.332
0.466 0.666 0.800
0.334 0.534 0.200
0.951 0.619 0.668
0.865 0.666 0.200
0.951 0.283 0.332
0.717 0.049 0.668
0.334 0.135 0.800
0.250 0.750 0.500
0.750 0.250 0.500
0.500 0.500 0.000
0.000 0.000 0.000
```

Calculated values
- raw total energy (eV/atom) = -7.841